(1)
Here is a relaxed structure of Ce2Sm3PuP6 from Alexandria. Energies are from PBE-GGA.

Lattice parameters (Å, degrees): 7.0698 7.0698 7.0723 99.60 99.60 119.99
Last column: nearest neighbours and their distance in Å.
Fractional coordinates of all 12 atoms:
P (0.2496, 0.2496, 0.7557)  1 Pu 2.85, 2 Ce 2.87, 3 Sm 2.91-2.92
Sm (0.5000, 0.5000, 0.5000)  6 P 2.90-2.92
Sm (0.1673, 0.8327, 0.5000)  6 P 2.90-2.92
Ce (0.3334, 0.6666, 0.0000)  6 P 2.87
P (0.0812, 0.4121, 0.2438)  1 Pu 2.85, 2 Ce 2.87, 3 Sm 2.90-2.92
P (0.9188, 0.5879, 0.7562)  1 Pu 2.85, 2 Ce 2.87, 3 Sm 2.90-2.92
P (0.4121, 0.0812, 0.2438)  1 Pu 2.85, 2 Ce 2.87, 3 Sm 2.90-2.92
Ce (0.6666, 0.3334, 0.0000)  6 P 2.87
Pu (0.0000, 0.0000, 0.0000)  6 P 2.85
P (0.5879, 0.9188, 0.7562)  1 Pu 2.85, 2 Ce 2.87, 3 Sm 2.90-2.92
Sm (0.8327, 0.1673, 0.5000)  6 P 2.90-2.92
P (0.7504, 0.7504, 0.2443)  1 Pu 2.85, 2 Ce 2.87, 3 Sm 2.91-2.92

- total DFT energy (no corrections) (Ry/atom) = -0.55472
- space group = C2/m, No. 12
- ΔH_f (0 K) (eV/atom) = -1.479
- crystal system = monoclinic
- density of states at the Fermi level (states/eV per cell) = 19.81



(2)
Here is a relaxed structure of Ce2SmPuP4 from Alexandria. Energies are from PBE-GGA.

Lattice parameters (Å, degrees): 4.0762 7.0505 7.0430 109.55 90.00 90.00
Last column: nearest neighbours and their distance in Å.
Fractional coordinates of all 8 atoms:
P (0.0000, 0.7544, 0.2514)  1 Pu 2.86, 3 Ce 2.86-2.90, 2 Sm 2.89
Pu (0.0000, 0.0000, 0.0000)  6 P 2.85-2.86
P (0.0000, 0.2456, 0.7486)  1 Pu 2.86, 3 Ce 2.86-2.90, 2 Sm 2.89
P (0.5000, 0.2445, 0.2468)  2 Pu 2.85, 3 Ce 2.87-2.90, 1 Sm 2.89
P (0.5000, 0.7555, 0.7532)  2 Pu 2.85, 3 Ce 2.87-2.90, 1 Sm 2.89
Sm (0.5000, 0.5000, 0.0000)  6 P 2.89
Ce (0.5000, 0.0000, 0.5000)  6 P 2.86-2.87
Ce (0.0000, 0.5000, 0.5000)  6 P 2.90

- total DFT energy (no corrections) (Ry/atom) = -0.58817
- space group = P2/m, No. 10
- ΔH_f (0 K) (eV/atom) = -1.433
- crystal system = monoclinic
- density of states at the Fermi level (states/eV per cell) = 16.35



(3)
Here is a relaxed structure of Sr2CePuP4 from Alexandria. Energies are from PBE-GGA.

Lattice parameters (Å, degrees): 4.1943 7.2575 7.3147 109.41 90.00 90.00
Last column: nearest neighbours and their distance in Å.
Fractional coordinates of all 8 atoms:
Ce (0.0000, 0.0000, 0.0000)  6 P 2.85-2.86
P (0.0000, 0.7322, 0.2117)  2 Pu 2.81, 1 Ce 2.86, 3 Sr 3.11-3.15
P (0.5000, 0.7581, 0.7841)  1 Pu 2.82, 2 Ce 2.85, 3 Sr 3.10-3.13
Sr (0.0000, 0.5000, 0.5000)  6 P 3.10-3.11
P (0.5000, 0.2419, 0.2159)  1 Pu 2.82, 2 Ce 2.85, 3 Sr 3.10-3.13
Pu (0.5000, 0.5000, 0.0000)  6 P 2.81-2.82
P (0.0000, 0.2678, 0.7883)  2 Pu 2.81, 1 Ce 2.86, 3 Sr 3.11-3.15
Sr (0.5000, 0.0000, 0.5000)  6 P 3.13-3.15

- total DFT energy (no corrections) (Ry/atom) = -0.50132
- space group = P2/m, No. 10
- ΔH_f (0 K) (eV/atom) = -1.162
- crystal system = monoclinic
- density of states at the Fermi level (states/eV per cell) = 13.05



(4)
Here is a relaxed structure of Tb3CePu2P6 from Alexandria. Energies are from PBE-GGA.

Lattice parameters (Å, degrees): 6.9805 6.9805 6.9619 99.62 99.62 119.99
Last column: nearest neighbours and their distance in Å.
Fractional coordinates of all 12 atoms:
P (0.4192, 0.0823, 0.2467)  2 Pu 2.82, 3 Tb 2.85-2.87, 1 Ce 2.85
P (0.2548, 0.2548, 0.7534)  2 Pu 2.82, 3 Tb 2.84-2.86, 1 Ce 2.86
P (0.7452, 0.7452, 0.2466)  2 Pu 2.82, 3 Tb 2.84-2.86, 1 Ce 2.86
Tb (0.1659, 0.8341, 0.5000)  6 P 2.85-2.87
P (0.0823, 0.4192, 0.2467)  2 Pu 2.82, 3 Tb 2.85-2.87, 1 Ce 2.85
Tb (0.5000, 0.5000, 0.5000)  6 P 2.84-2.87
Ce (0.0000, 0.0000, 0.0000)  6 P 2.85-2.86
Pu (0.6667, 0.3332, 0.0000)  6 P 2.82
Tb (0.8341, 0.1659, 0.5000)  6 P 2.85-2.87
P (0.9177, 0.5808, 0.7533)  2 Pu 2.82, 3 Tb 2.85-2.87, 1 Ce 2.85
P (0.5808, 0.9177, 0.7533)  2 Pu 2.82, 3 Tb 2.85-2.87, 1 Ce 2.85
Pu (0.3332, 0.6667, 0.0000)  6 P 2.82

- total DFT energy (no corrections) (Ry/atom) = -0.60158
- space group = C2/m, No. 12
- ΔH_f (0 K) (eV/atom) = -1.439
- crystal system = monoclinic
- density of states at the Fermi level (states/eV per cell) = 22.07



(5)
Here is a relaxed structure of TbCePu2P4 from Alexandria. Energies are from PBE-GGA.

Lattice parameters (Å, degrees): 4.0333 6.9716 6.9552 109.74 90.00 90.00
Last column: nearest neighbours and their distance in Å.
Fractional coordinates of all 8 atoms:
P (0.0000, 0.7534, 0.2547)  3 Pu 2.82-2.84, 1 Tb 2.85, 2 Ce 2.87
P (0.5000, 0.2527, 0.2555)  3 Pu 2.82-2.83, 1 Ce 2.86, 2 Tb 2.87
Pu (0.5000, 0.0000, 0.5000)  6 P 2.82-2.83
Tb (0.0000, 0.0000, 0.0000)  6 P 2.85-2.87
Pu (0.0000, 0.5000, 0.5000)  6 P 2.82-2.84
Ce (0.5000, 0.5000, 0.0000)  6 P 2.86-2.87
P (0.0000, 0.2466, 0.7453)  3 Pu 2.82-2.84, 1 Tb 2.85, 2 Ce 2.87
P (0.5000, 0.7473, 0.7445)  3 Pu 2.82-2.83, 1 Ce 2.86, 2 Tb 2.87

- total DFT energy (no corrections) (Ry/atom) = -0.65689
- space group = P2/m, No. 10
- ΔH_f (0 K) (eV/atom) = -1.329
- crystal system = monoclinic
- density of states at the Fermi level (states/eV per cell) = 26.10



(6)
Here is a relaxed structure of TbCe2PuP4 from Alexandria. Energies are from PBE-GGA.

Lattice parameters (Å, degrees): 4.0559 7.0145 7.0047 109.58 90.00 90.00
Last column: nearest neighbours and their distance in Å.
Fractional coordinates of all 8 atoms:
Ce (0.0000, 0.5000, 0.5000)  6 P 2.88-2.89
Pu (0.0000, 0.0000, 0.0000)  6 P 2.84-2.85
P (0.5000, 0.7537, 0.7552)  2 Pu 2.84, 1 Tb 2.86, 3 Ce 2.87-2.89
Ce (0.5000, 0.0000, 0.5000)  6 P 2.87
Tb (0.5000, 0.5000, 0.0000)  6 P 2.86
P (0.5000, 0.2463, 0.2448)  2 Pu 2.84, 1 Tb 2.86, 3 Ce 2.87-2.89
P (0.0000, 0.7507, 0.2477)  1 Pu 2.85, 2 Tb 2.86, 3 Ce 2.87-2.88
P (0.0000, 0.2493, 0.7523)  1 Pu 2.85, 2 Tb 2.86, 3 Ce 2.87-2.88

- total DFT energy (no corrections) (Ry/atom) = -0.58815
- space group = P2/m, No. 10
- ΔH_f (0 K) (eV/atom) = -1.444
- crystal system = monoclinic
- density of states at the Fermi level (states/eV per cell) = 15.70



(7)
Here is a relaxed structure of Tb2CePuP4 from Alexandria. Energies are from PBE-GGA.

Lattice parameters (Å, degrees): 4.0384 6.9873 6.9826 109.58 90.00 90.00
Last column: nearest neighbours and their distance in Å.
Fractional coordinates of all 8 atoms:
P (0.5000, 0.2460, 0.2466)  2 Pu 2.83, 3 Tb 2.85-2.87, 1 Ce 2.86
Ce (0.5000, 0.5000, 0.0000)  6 P 2.85-2.86
P (0.0000, 0.2485, 0.7506)  1 Pu 2.84, 3 Tb 2.85-2.87, 2 Ce 2.85
Tb (0.5000, 0.0000, 0.5000)  6 P 2.85
Pu (0.0000, 0.0000, 0.0000)  6 P 2.83-2.84
P (0.0000, 0.7515, 0.2494)  1 Pu 2.84, 3 Tb 2.85-2.87, 2 Ce 2.85
Tb (0.0000, 0.5000, 0.5000)  6 P 2.87
P (0.5000, 0.7540, 0.7534)  2 Pu 2.83, 3 Tb 2.85-2.87, 1 Ce 2.86

- total DFT energy (no corrections) (Ry/atom) = -0.57812
- space group = P2/m, No. 10
- ΔH_f (0 K) (eV/atom) = -1.470
- crystal system = monoclinic
- density of states at the Fermi level (states/eV per cell) = 13.70



(8)
Here is a relaxed structure of TbCe3Pu2P6 from Alexandria. Energies are from PBE-GGA.

Lattice parameters (Å, degrees): 7.0171 7.0171 6.9975 99.62 99.62 120.01
Last column: nearest neighbours and their distance in Å.
Fractional coordinates of all 12 atoms:
P (0.5821, 0.9183, 0.7550)  2 Pu 2.83, 1 Tb 2.86, 3 Ce 2.87-2.89
Tb (0.0000, 0.0000, 0.0000)  6 P 2.86
Pu (0.3332, 0.6668, 0.0000)  6 P 2.83
P (0.7453, 0.7453, 0.2448)  2 Pu 2.83, 1 Tb 2.86, 3 Ce 2.86-2.88
P (0.4179, 0.0817, 0.2450)  2 Pu 2.83, 1 Tb 2.86, 3 Ce 2.87-2.89
P (0.0817, 0.4179, 0.2450)  2 Pu 2.83, 1 Tb 2.86, 3 Ce 2.87-2.89
Pu (0.6668, 0.3332, 0.0000)  6 P 2.83
P (0.9183, 0.5821, 0.7550)  2 Pu 2.83, 1 Tb 2.86, 3 Ce 2.87-2.89
P (0.2547, 0.2547, 0.7552)  2 Pu 2.83, 1 Tb 2.86, 3 Ce 2.86-2.88
Ce (0.8341, 0.1659, 0.5000)  6 P 2.87-2.89
Ce (0.1659, 0.8341, 0.5000)  6 P 2.87-2.89
Ce (0.5000, 0.5000, 0.5000)  6 P 2.86-2.89

- total DFT energy (no corrections) (Ry/atom) = -0.61513
- space group = C2/m, No. 12
- ΔH_f (0 K) (eV/atom) = -1.406
- crystal system = monoclinic
- density of states at the Fermi level (states/eV per cell) = 24.64